Material: CaTl2W
Method: DFT, PBE-GGA
State: optimized geometry Values from VASP.

Calculated values
The formation energy comes out at 0.586 eV/atom. For the total magnetic moment, the calculation gives 0.0 Bohr magnetons per cell.

The structure in Quantum ESPRESSO input format:
```
&SYSTEM
  ibrav = 0, nat = 4, ntyp = 3
/
ATOMIC_SPECIES
Ca 40.08 Ca.upf
Tl 204.38 Tl.upf
W 183.84 W.upf
CELL_PARAMETERS angstrom
4.992 -1.550 0.000
4.992 1.550 0.000
-0.826 0.000 6.048
ATOMIC_POSITIONS crystal
Ca 0.000 0.000 0.000
Tl 0.243 0.243 0.723
Tl 0.757 0.757 0.277
W 0.500 0.500 0.500
```